Here is an optimized crystal structure of CeNbV2O6 from the Alexandria database. Energies are from PBE with a Hubbard U.

The energy is -8.485 eV/atom. As for the total magnetization: 7.08 Bohr magnetons per cell.

```
CeNbV2O6
1.0
2.738 1.581 4.932
-2.738 1.581 4.932
0.000 -3.161 4.932
Ce Nb V O
1 1 2 6
Cartesian
0.000 0.000 0.000
0.000 0.000 7.211
0.000 0.000 4.218
0.000 0.000 11.674
-1.534 -0.155 5.733
-0.959 -1.532 8.061
0.901 -1.251 5.733
-0.848 1.597 8.061
0.633 1.406 5.733
1.806 -0.064 8.061
```